# 1
## ScSn2Ir2 (PBE-GGA)

Data for crystalline ScSn2Ir2 at its relaxed geometry.

Lattice parameters (Å, degrees): 7.0347 7.0347 3.9030 90.00 90.00 90.00
Space group P4/mbm (No. 127)
Asymmetric unit:
Sc 0.0000 0.0000 0.0000 x2
Sn 0.1674 0.3326 0.5000 x4
Ir 0.1354 0.6354 0.0000 x4

formation energy	-1.712	eV per formula unit
uncorrected energy	-6.754	eV per atom

***

# 2
## Sc5SnIr4 (PBE-GGA)

Data for crystalline Sc5SnIr4 at its relaxed geometry.

Lattice parameters (Å, degrees): 3.1440 3.1440 18.3109 90.00 90.00 90.00
Space group P4/mmm (No. 123)
Asymmetric unit:
Sc 0.0000 0.0000 0.0000 x1
Sc 0.0000 0.0000 0.1849 x2
Sc 0.0000 0.0000 0.3705 x2
Sn 0.5000 0.5000 0.5000 x1
Ir 0.5000 0.5000 0.0926 x2
Ir 0.5000 0.5000 0.2800 x2

formation energy	-9.334	eV per formula unit
uncorrected energy	-8.044	eV per atom

***

# 3
## Sc3SnIr4 (PBE-GGA)

Data for crystalline Sc3SnIr4 at its relaxed geometry.

Lattice parameters (Å, degrees): 4.5669 4.5669 22.4932 90.00 90.00 120.00
Space group R-3m (No. 166, hexagonal axes)
Asymmetric unit:
Sc 0.0000 0.0000 0.0000 x3
Sc 0.0000 0.0000 0.2491 x6
Sn 0.0000 0.0000 0.5000 x3
Ir 0.0000 0.0000 0.1227 x6
Ir 0.0000 0.0000 0.3740 x6

formation energy	-6.583	eV per formula unit
uncorrected energy	-8.128	eV per atom

***

# 4
## Sc2Sn2Ir3 (PBE-GGA)

Data for crystalline Sc2Sn2Ir3 at its relaxed geometry.

Lattice parameters (Å, degrees): 7.9349 4.5891 7.7257 90.00 109.97 90.00
Space group C2/m (No. 12)
Asymmetric unit:
Sc 0.1275 0.0000 0.3815 x4
Sn 0.1129 0.5000 0.8389 x4
Ir 0.0000 0.0000 0.0000 x2
Ir 0.2460 0.5000 0.2380 x4

formation energy	-4.316	eV per formula unit
uncorrected energy	-7.367	eV per atom

***

# 5
## TmScSnIr (PBE-GGA)

Data for crystalline TmScSnIr at its relaxed geometry.

Lattice parameters (Å, degrees): 6.9469 6.9469 6.9469 90.00 90.00 90.00
Space group F-43m (No. 216)
Asymmetric unit:
Tm 0.0000 0.0000 0.0000 x4
Sc 0.0000 0.0000 0.5000 x4
Sn 0.2500 0.2500 0.2500 x4
Ir 0.2500 0.2500 0.7500 x4

formation energy	-2.549	eV per formula unit
uncorrected energy	-6.554	eV per atom

***

# 6
## ScV2SnIr (PBE-GGA)

Data for crystalline ScV2SnIr at its relaxed geometry.

Lattice parameters (Å, degrees): 4.7026 4.7026 5.0067 90.00 90.00 90.00
Space group P4/mmm (No. 123)
Asymmetric unit:
Sc 0.0000 0.0000 0.0000 x1
V 0.0000 0.5000 0.5000 x2
Sn 0.5000 0.5000 0.0000 x1
Ir 0.0000 0.0000 0.5000 x1

formation energy	1.698	eV per formula unit
uncorrected energy	-7.147	eV per atom

***

# 7
## ScZn2SnIr (PBE-GGA)

Data for crystalline ScZn2SnIr at its relaxed geometry.

Lattice parameters (Å, degrees): 4.8700 4.8700 4.9908 90.00 90.00 90.00
Space group P4/mmm (No. 123)
Asymmetric unit:
Sc 0.0000 0.0000 0.0000 x1
Zn 0.0000 0.5000 0.5000 x2
Sn 0.5000 0.5000 0.5000 x1
Ir 0.5000 0.5000 0.0000 x1

formation energy	3.425	eV per formula unit
ΔE to the lowest computed polymorph	0.00	eV per formula unit
uncorrected energy	-3.664	eV per atom

***

# 8
## ScZn2SnIr (PBE-GGA)

Data for crystalline ScZn2SnIr at its relaxed geometry.

Lattice parameters (Å, degrees): 4.8575 4.8575 5.3514 90.00 90.00 90.00
Space group P4/mmm (No. 123)
Asymmetric unit:
Sc 0.0000 0.0000 0.0000 x1
Zn 0.0000 0.5000 0.0000 x2
Sn 0.0000 0.0000 0.5000 x1
Ir 0.5000 0.5000 0.5000 x1

formation energy	7.050	eV per formula unit
ΔE to the lowest computed polymorph	3.62	eV per formula unit
uncorrected energy	-2.939	eV per atom

***

# 9
## Sc5ZnSn2Ir2 (PBE-GGA)

Data for crystalline Sc5ZnSn2Ir2 at its relaxed geometry.

Lattice parameters (Å, degrees): 11.1256 11.1256 3.3962 90.00 90.00 90.00
Space group P4/mbm (No. 127)
Asymmetric unit:
Sc 0.0000 0.5000 0.0000 x2
Sc 0.0698 0.1990 0.0000 x8
Zn 0.0000 0.0000 0.5000 x2
Sn 0.1738 0.6738 0.5000 x4
Ir 0.1335 0.3665 0.5000 x4

formation energy	-5.871	eV per formula unit
uncorrected energy	-6.453	eV per atom

***

# 10
## SrScIr2 (PBE-GGA)

Data for crystalline SrScIr2 at its relaxed geometry.

Lattice parameters (Å, degrees): 3.2524 3.2524 26.2095 90.00 90.00 120.00
Space group R-3m (No. 166, hexagonal axes)
Asymmetric unit:
Sr 0.0000 0.0000 0.0000 x3
Sc 0.0000 0.0000 0.5000 x3
Ir 0.0000 0.0000 0.2410 x6

formation energy	-0.069	eV per formula unit
ΔE to the lowest computed polymorph	1.66	eV per formula unit
uncorrected energy	-6.451	eV per atom

***

# 11
## SrScIr2 (PBE-GGA)

Data for crystalline SrScIr2 at its relaxed geometry.

Lattice parameters (Å, degrees): 4.1087 4.1087 9.3691 90.00 90.00 90.00
Space group I-4m2 (No. 119)
Asymmetric unit:
Sr 0.0000 0.0000 0.0000 x2
Sc 0.0000 0.5000 0.2500 x2
Ir 0.0000 0.0000 0.5000 x2
Ir 0.0000 0.5000 0.7500 x2

formation energy	0.111	eV per formula unit
ΔE to the lowest computed polymorph	1.84	eV per formula unit
uncorrected energy	-6.406	eV per atom

***

# 12
## SrScIr2 (PBE-GGA)

Data for crystalline SrScIr2 at its relaxed geometry.

Lattice parameters (Å, degrees): 3.4902 3.4902 7.8898 90.00 90.00 90.00
Space group P4mm (No. 99)
Asymmetric unit:
Sr 0.0000 0.0000 0.0000 x1
Sc 0.5000 0.5000 0.5999 x1
Ir 0.0000 0.0000 0.4057 x1
Ir 0.5000 0.5000 0.2868 x1

formation energy	0.161	eV per formula unit
ΔE to the lowest computed polymorph	1.89	eV per formula unit
uncorrected energy	-6.393	eV per atom

***

# 13
## SrScIr2 (PBE-GGA)

Data for crystalline SrScIr2 at its relaxed geometry.

Lattice parameters (Å, degrees): 3.0600 4.3350 6.4158 90.00 90.00 90.00
Space group Pmm2 (No. 25)
Asymmetric unit:
Sr 0.0000 0.0000 0.0000 x1
Sc 0.5000 0.5000 0.6070 x1
Ir 0.0000 0.0000 0.4914 x1
Ir 0.5000 0.5000 0.2269 x1

formation energy	-0.040	eV per formula unit
ΔE to the lowest computed polymorph	1.69	eV per formula unit
uncorrected energy	-6.444	eV per atom

***

# 14
## Sr3ScIr (PBE-GGA)

Data for crystalline Sr3ScIr at its relaxed geometry.

Lattice parameters (Å, degrees): 5.8384 5.8384 5.8384 90.00 90.00 90.00
Space group Pm-3m (No. 221)
Asymmetric unit:
Sr 0.0000 0.0000 0.5000 x3
Sc 0.0000 0.0000 0.0000 x1
Ir 0.5000 0.5000 0.5000 x1

formation energy	7.205	eV per formula unit
ΔE to the lowest computed polymorph	6.11	eV per formula unit
uncorrected energy	-2.607	eV per atom

***

# 15
## SrScIr2 (PBE-GGA)

Data for crystalline SrScIr2 at its relaxed geometry.

Lattice parameters (Å, degrees): 3.2093 3.2618 7.5259 90.00 90.00 90.00
Space group Pmmm (No. 47)
Asymmetric unit:
Sr 0.0000 0.0000 0.0000 x1
Sc 0.0000 0.0000 0.5000 x1
Ir 0.5000 0.5000 0.2925 x2

formation energy	-1.733	eV per formula unit
ΔE to the lowest computed polymorph	0.00	eV per formula unit
uncorrected energy	-6.867	eV per atom

***

# 16
## SrScIr2 (PBE-GGA)

Data for crystalline SrScIr2 at its relaxed geometry.

Lattice parameters (Å, degrees): 3.0240 4.9131 11.0735 90.00 90.00 90.00
Space group Imm2 (No. 44)
Asymmetric unit:
Sr 0.0000 0.0000 0.0000 x2
Sc 0.0000 0.5000 0.1958 x2
Ir 0.0000 0.0000 0.4660 x2
Ir 0.0000 0.5000 0.7714 x2

formation energy	-0.644	eV per formula unit
ΔE to the lowest computed polymorph	1.09	eV per formula unit
uncorrected energy	-6.595	eV per atom

***

# 17
## SrScIr2 (PBE-GGA)

Data for crystalline SrScIr2 at its relaxed geometry.

Lattice parameters (Å, degrees): 6.7380 6.7380 6.7380 90.00 90.00 90.00
Space group F-43m (No. 216)
Asymmetric unit:
Sr 0.0000 0.0000 0.0000 x4
Sc 0.2500 0.2500 0.7500 x4
Ir 0.0000 0.0000 0.5000 x4
Ir 0.2500 0.2500 0.2500 x4

formation energy	0.459	eV per formula unit
ΔE to the lowest computed polymorph	2.19	eV per formula unit
uncorrected energy	-6.319	eV per atom

***

# 18
## SrScIr2 (PBE-GGA)

Data for crystalline SrScIr2 at its relaxed geometry.

Lattice parameters (Å, degrees): 10.8587 3.0276 5.2487 90.00 103.58 90.00
Space group Cm (No. 8)
Asymmetric unit:
Sr 0.0000 0.0000 0.0000 x2
Sc 0.1930 0.0000 0.6000 x2
Ir 0.2713 0.5000 0.2416 x2
Ir 0.4646 0.0000 0.4890 x2

formation energy	-0.764	eV per formula unit
ΔE to the lowest computed polymorph	0.97	eV per formula unit
uncorrected energy	-6.625	eV per atom

***

# 19
## SrScIr2 (PBE-GGA)

Data for crystalline SrScIr2 at its relaxed geometry.

Lattice parameters (Å, degrees): 8.2820 3.1537 6.9053 90.00 100.14 90.00
Space group C2/m (No. 12)
Asymmetric unit:
Sr 0.0000 0.0000 0.0000 x2
Sc 0.0000 0.5000 0.5000 x2
Ir 0.2403 0.0000 0.6698 x4

formation energy	-0.652	eV per formula unit
ΔE to the lowest computed polymorph	1.08	eV per formula unit
uncorrected energy	-6.597	eV per atom

***

# 20
## SrScIr3 (PBE-GGA)

Data for crystalline SrScIr3 at its relaxed geometry.

Lattice parameters (Å, degrees): 4.8326 4.8326 4.8326 90.00 90.00 90.00
Space group Pm-3m (No. 221)
Asymmetric unit:
Sr 0.0000 0.0000 0.0000 x1
Sc 0.5000 0.5000 0.5000 x1
Ir 0.0000 0.5000 0.5000 x3

formation energy	3.258	eV per formula unit
ΔE to the lowest computed polymorph	0.00	eV per formula unit
uncorrected energy	-6.268	eV per atom